Below is a relaxed CsCe2Cl8 crystal, with properties calculated at the PBE level.

Cell: 7.869 7.869 5.530 Å, 94.50 94.50 113.35°
Atoms (fractional coordinates):
Cs (0.000, 0.000, 0.000)
Ce (0.323, 0.677, 0.500)
Ce (0.677, 0.323, 0.500)
Cl (0.049, 0.330, 0.563)
Cl (0.269, 0.731, 0.000)
Cl (0.330, 0.049, 0.563)
Cl (0.410, 0.410, 0.232)
Cl (0.590, 0.590, 0.768)
Cl (0.670, 0.951, 0.437)
Cl (0.731, 0.269, 0.000)
Cl (0.951, 0.670, 0.437)

Results
The space group is C2/m. As for the density of states at the Fermi level: 10.07 states/eV/f.u. The calculation puts the uncorrected formation energy at -2.09 eV per atom.

---

Below is a relaxed Cs2CeCl2F4 crystal, with properties calculated at the PBE level.

Cell: 7.077 7.077 7.077 Å, 118.01 118.01 93.48°
Atoms (fractional coordinates):
Cs (0.250, 0.750, 0.500)
Cs (0.750, 0.250, 0.500)
Ce (0.000, 0.000, 0.000)
Cl (0.276, 0.276, 0.000)
Cl (0.724, 0.724, 0.000)
F (0.208, 0.208, 0.416)
F (0.208, 0.792, 0.000)
F (0.792, 0.208, 0.000)
F (0.792, 0.792, 0.584)

Results
The space group is I4/mmm. As for the density of states at the Fermi level: 0.00 states/eV/f.u. The calculation puts the uncorrected formation energy at -2.92 eV per atom.

---

Below is a relaxed Cs2CeCl3F3 crystal, with properties calculated at the PBE level.

Cell: 8.472 8.472 3.783 Å, 90.00 90.00 120.00°
Atoms (fractional coordinates):
Cs (0.333, 0.667, 0.000)
Cs (0.667, 0.333, 0.000)
Ce (0.000, 0.000, 0.500)
Cl (0.000, 0.667, 0.500)
Cl (0.333, 0.333, 0.500)
Cl (0.667, 0.000, 0.500)
F (0.000, 0.174, 0.000)
F (0.174, 0.000, 0.000)
F (0.826, 0.826, 0.000)

Results
The space group is P-62m. The calculation puts the uncorrected formation energy at -2.62 eV per atom.

---

Below is a relaxed CsCeGa2Cl8 crystal, with properties calculated at the PBE level.

Cell: 6.626 6.943 9.684 Å, 74.94 79.54 78.15°
Atoms (fractional coordinates):
Cs (0.000, 0.000, 0.000)
Ce (0.000, 0.000, 0.500)
Ga (0.464, 0.451, 0.217)
Ga (0.536, 0.549, 0.783)
Cl (0.166, 0.726, 0.730)
Cl (0.227, 0.792, 0.311)
Cl (0.292, 0.231, 0.459)
Cl (0.402, 0.299, 0.025)
Cl (0.598, 0.701, 0.975)
Cl (0.708, 0.769, 0.541)
Cl (0.773, 0.208, 0.689)
Cl (0.834, 0.274, 0.270)

Results
The space group is P-1. As for the density of states at the Fermi level: 6.82 states/eV/f.u. The calculation puts the uncorrected formation energy at -1.44 eV per atom.

---

Below is a relaxed CsCeGaCl6 crystal, with properties calculated at the PBE level.

Cell: 7.271 7.271 13.378 Å, 90.00 90.00 90.00°
Atoms (fractional coordinates):
Cs (0.000, 0.000, 0.000)
Cs (0.500, 0.500, 0.500)
Ce (0.000, 0.000, 0.656)
Ce (0.500, 0.500, 0.156)
Ga (0.000, 0.000, 0.338)
Ga (0.500, 0.500, 0.838)
Cl (0.165, 0.165, 0.498)
Cl (0.195, 0.195, 0.784)
Cl (0.246, 0.246, 0.171)
Cl (0.254, 0.746, 0.671)
Cl (0.305, 0.695, 0.284)
Cl (0.335, 0.665, 0.998)
Cl (0.665, 0.335, 0.998)
Cl (0.695, 0.305, 0.284)
Cl (0.746, 0.254, 0.671)
Cl (0.754, 0.754, 0.171)
Cl (0.805, 0.805, 0.784)
Cl (0.835, 0.835, 0.498)

Results
The space group is P4_2nm. The calculation puts the uncorrected formation energy at -1.72 eV per atom.

---

Below is a relaxed Cs2CeGaCl6 crystal, with properties calculated at the PBE level.

Cell: 8.035 11.373 8.052 Å, 90.00 90.00 90.00°
Atoms (fractional coordinates):
Cs (0.250, 0.001, 0.246)
Cs (0.250, 0.499, 0.246)
Cs (0.750, 0.501, 0.754)
Cs (0.750, 0.999, 0.754)
Ce (0.250, 0.750, 0.752)
Ce (0.750, 0.250, 0.248)
Ga (0.250, 0.250, 0.748)
Ga (0.750, 0.750, 0.252)
Cl (0.007, 0.750, 0.512)
Cl (0.008, 0.750, 0.995)
Cl (0.250, 0.508, 0.756)
Cl (0.250, 0.992, 0.756)
Cl (0.492, 0.750, 0.995)
Cl (0.493, 0.750, 0.512)
Cl (0.507, 0.250, 0.488)
Cl (0.508, 0.250, 0.005)
Cl (0.750, 0.008, 0.244)
Cl (0.750, 0.492, 0.244)
Cl (0.992, 0.250, 0.005)
Cl (0.993, 0.250, 0.488)

Results
The space group is Pmmn. As for the density of states at the Fermi level: 8.15 states/eV/f.u. The calculation puts the uncorrected formation energy at -1.85 eV per atom.

---

Below is a relaxed CsCeHg2Cl8 crystal, with properties calculated at the PBE level.

Cell: 6.754 7.206 9.710 Å, 111.11 95.92 98.09°
Atoms (fractional coordinates):
Cs (0.000, 0.000, 0.000)
Ce (0.000, 0.500, 0.500)
Hg (0.470, 0.312, 0.777)
Hg (0.530, 0.688, 0.223)
Cl (0.130, 0.528, 0.248)
Cl (0.212, 0.869, 0.674)
Cl (0.326, 0.298, 0.535)
Cl (0.443, 0.734, 0.993)
Cl (0.557, 0.266, 0.007)
Cl (0.674, 0.702, 0.465)
Cl (0.788, 0.131, 0.326)
Cl (0.870, 0.472, 0.752)

Results
The space group is P-1. As for the density of states at the Fermi level: 5.18 states/eV/f.u. The calculation puts the uncorrected formation energy at -1.35 eV per atom.

---

Below is a relaxed Cs2CeHgCl6 crystal, with properties calculated at the PBE level.

Cell: 7.678 11.569 10.190 Å, 90.00 90.00 90.00°
Atoms (fractional coordinates):
Cs (0.250, 0.022, 0.176)
Cs (0.250, 0.478, 0.176)
Cs (0.750, 0.522, 0.824)
Cs (0.750, 0.978, 0.824)
Ce (0.250, 0.750, 0.825)
Ce (0.750, 0.250, 0.175)
Hg (0.250, 0.250, 0.657)
Hg (0.750, 0.750, 0.343)
Cl (0.003, 0.250, 0.348)
Cl (0.012, 0.750, 0.014)
Cl (0.250, 0.521, 0.831)
Cl (0.250, 0.979, 0.831)
Cl (0.488, 0.750, 0.014)
Cl (0.497, 0.250, 0.348)
Cl (0.503, 0.750, 0.652)
Cl (0.512, 0.250, 0.986)
Cl (0.750, 0.021, 0.169)
Cl (0.750, 0.479, 0.169)
Cl (0.988, 0.250, 0.986)
Cl (0.997, 0.750, 0.652)

Results
The space group is Pmmn. The calculation puts the uncorrected formation energy at -1.81 eV per atom.

---

Below is a relaxed CsCe3Hg2Cl12 crystal, with properties calculated at the PBE level.

Cell: 9.630 9.630 9.630 Å, 66.08 66.08 66.08°
Atoms (fractional coordinates):
Cs (0.000, 0.000, 0.000)
Ce (0.000, 0.000, 0.500)
Ce (0.000, 0.500, 0.000)
Ce (0.500, 0.000, 0.000)
Hg (0.423, 0.423, 0.423)
Hg (0.577, 0.577, 0.577)
Cl (0.100, 0.733, 0.733)
Cl (0.138, 0.138, 0.560)
Cl (0.138, 0.560, 0.138)
Cl (0.267, 0.267, 0.900)
Cl (0.267, 0.900, 0.267)
Cl (0.440, 0.862, 0.862)
Cl (0.560, 0.138, 0.138)
Cl (0.733, 0.100, 0.733)
Cl (0.733, 0.733, 0.100)
Cl (0.862, 0.440, 0.862)
Cl (0.862, 0.862, 0.440)
Cl (0.900, 0.267, 0.267)

Results
The space group is R-3m. As for the density of states at the Fermi level: 17.44 states/eV/f.u. The calculation puts the uncorrected formation energy at -1.78 eV per atom.

---

Below is a relaxed Cs2CeI3Cl3 crystal, with properties calculated at the PBE level.

Cell: 9.726 9.726 4.297 Å, 90.00 90.00 120.00°
Atoms (fractional coordinates):
Cs (0.333, 0.667, 0.000)
Cs (0.667, 0.333, 0.000)
Ce (0.000, 0.000, 0.500)
I (0.000, 0.349, 0.500)
I (0.349, 0.000, 0.500)
I (0.651, 0.651, 0.500)
Cl (0.000, 0.804, 0.000)
Cl (0.196, 0.196, 0.000)
Cl (0.804, 0.000, 0.000)

Results
The space group is P-62m. As for the density of states at the Fermi level: 6.99 states/eV/f.u. The calculation puts the uncorrected formation energy at -1.59 eV per atom.

---

Below is a relaxed CsCeInCl6 crystal, with properties calculated at the PBE level.

Cell: 7.253 7.253 13.831 Å, 90.00 90.00 90.00°
Atoms (fractional coordinates):
Cs (0.000, 0.000, 0.000)
Cs (0.500, 0.500, 0.500)
Ce (0.000, 0.000, 0.661)
Ce (0.500, 0.500, 0.161)
In (0.000, 0.000, 0.332)
In (0.500, 0.500, 0.832)
Cl (0.167, 0.167, 0.512)
Cl (0.191, 0.191, 0.790)
Cl (0.244, 0.244, 0.173)
Cl (0.256, 0.744, 0.673)
Cl (0.309, 0.691, 0.290)
Cl (0.333, 0.667, 0.012)
Cl (0.667, 0.333, 0.012)
Cl (0.691, 0.309, 0.290)
Cl (0.744, 0.256, 0.673)
Cl (0.756, 0.756, 0.173)
Cl (0.809, 0.809, 0.790)
Cl (0.833, 0.833, 0.512)

Results
The space group is P4_2nm. The calculation puts the uncorrected formation energy at -1.76 eV per atom.

---

Below is a relaxed CsCeIn2Cl6 crystal, with properties calculated at the PBE level.

Cell: 8.040 8.046 8.343 Å, 61.21 61.21 60.05°
Atoms (fractional coordinates):
Cs (0.000, 0.000, 0.000)
Ce (0.484, 0.484, 0.548)
In (0.283, 0.283, 0.152)
In (0.792, 0.792, 0.624)
Cl (0.118, 0.641, 0.814)
Cl (0.240, 0.582, 0.348)
Cl (0.426, 0.118, 0.814)
Cl (0.582, 0.831, 0.348)
Cl (0.642, 0.426, 0.814)
Cl (0.831, 0.240, 0.347)

Results
The space group is P1. As for the density of states at the Fermi level: 8.12 states/eV/f.u. The calculation puts the uncorrected formation energy at -1.63 eV per atom.

---

Below is a relaxed CsCeIn2Cl8 crystal, with properties calculated at the PBE level.

Cell: 6.904 6.910 9.656 Å, 81.93 81.66 83.06°
Atoms (fractional coordinates):
Cs (0.000, 0.000, 0.000)
Ce (0.000, 0.000, 0.500)
In (0.464, 0.466, 0.231)
In (0.536, 0.534, 0.769)
Cl (0.188, 0.777, 0.704)
Cl (0.231, 0.820, 0.293)
Cl (0.258, 0.268, 0.475)
Cl (0.334, 0.344, 0.013)
Cl (0.666, 0.656, 0.987)
Cl (0.742, 0.732, 0.525)
Cl (0.769, 0.180, 0.707)
Cl (0.812, 0.223, 0.296)

Results
The space group is P-1. As for the density of states at the Fermi level: 6.79 states/eV/f.u. The calculation puts the uncorrected formation energy at -1.49 eV per atom.

---

Below is a relaxed CsKCe2Cl8 crystal, with properties calculated at the PBE level.

Cell: 7.041 8.869 7.441 Å, 90.00 92.23 90.00°
Atoms (fractional coordinates):
Cs (0.000, 0.000, 0.000)
K (0.000, 0.500, 0.000)
Ce (0.500, 0.254, 0.500)
Ce (0.500, 0.746, 0.500)
Cl (0.267, 0.268, 0.205)
Cl (0.267, 0.732, 0.205)
Cl (0.296, 0.500, 0.643)
Cl (0.300, 0.000, 0.631)
Cl (0.700, 0.000, 0.369)
Cl (0.704, 0.500, 0.357)
Cl (0.733, 0.268, 0.795)
Cl (0.733, 0.732, 0.795)

Results
The space group is P2/m. As for the density of states at the Fermi level: 8.40 states/eV/f.u. The calculation puts the uncorrected formation energy at -2.13 eV per atom.

---

Below is a relaxed CsKCeCl6 crystal, with properties calculated at the PBE level.

Cell: 7.829 7.829 14.084 Å, 90.00 90.00 120.00°
Atoms (fractional coordinates):
Cs (0.000, 0.000, 0.000)
Cs (0.000, 0.000, 0.500)
K (0.333, 0.667, 0.250)
K (0.667, 0.333, 0.750)
Ce (0.333, 0.667, 0.750)
Ce (0.667, 0.333, 0.250)
Cl (0.050, 0.396, 0.643)
Cl (0.050, 0.655, 0.857)
Cl (0.345, 0.396, 0.857)
Cl (0.345, 0.950, 0.643)
Cl (0.396, 0.050, 0.143)
Cl (0.396, 0.345, 0.357)
Cl (0.604, 0.655, 0.643)
Cl (0.604, 0.950, 0.857)
Cl (0.655, 0.050, 0.357)
Cl (0.655, 0.604, 0.143)
Cl (0.950, 0.345, 0.143)
Cl (0.950, 0.604, 0.357)

Results
The space group is P-31c. The calculation puts the uncorrected formation energy at -2.03 eV per atom.

---

Below is a relaxed Cs2KCeCl8 crystal, with properties calculated at the PBE level.

Cell: 6.571 7.573 9.428 Å, 95.79 104.73 90.20°
Atoms (fractional coordinates):
Cs (0.091, 0.011, 0.281)
Cs (0.909, 0.989, 0.719)
K (0.500, 0.500, 0.000)
Ce (0.500, 0.500, 0.500)
Cl (0.216, 0.474, 0.239)
Cl (0.256, 0.327, 0.625)
Cl (0.344, 0.895, 0.004)
Cl (0.359, 0.805, 0.588)
Cl (0.641, 0.195, 0.412)
Cl (0.656, 0.105, 0.996)
Cl (0.744, 0.673, 0.375)
Cl (0.784, 0.526, 0.761)

Results
The space group is P-1. The calculation puts the uncorrected formation energy at -1.80 eV per atom.

---

Below is a relaxed CsCe2MgCl8 crystal, with properties calculated at the PBE level.

Cell: 6.570 6.759 8.853 Å, 90.05 90.38 93.16°
Atoms (fractional coordinates):
Cs (0.000, 0.000, 0.000)
Ce (0.499, 0.500, 0.728)
Ce (0.501, 0.500, 0.272)
Mg (0.000, 0.000, 0.500)
Cl (0.226, 0.168, 0.309)
Cl (0.228, 0.164, 0.694)
Cl (0.258, 0.687, 0.499)
Cl (0.282, 0.606, 0.999)
Cl (0.718, 0.394, 0.001)
Cl (0.742, 0.313, 0.501)
Cl (0.772, 0.836, 0.306)
Cl (0.774, 0.832, 0.691)

Results
The space group is P-1. As for the density of states at the Fermi level: 15.35 states/eV/f.u. The calculation puts the uncorrected formation energy at -1.97 eV per atom.

---

Below is a relaxed Cs2CeMgCl6 crystal, with properties calculated at the PBE level.

Cell: 7.646 7.646 7.646 Å, 60.00 60.00 60.00°
Atoms (fractional coordinates):
Cs (0.250, 0.250, 0.250)
Cs (0.750, 0.750, 0.750)
Ce (0.000, 0.000, 0.000)
Mg (0.500, 0.500, 0.500)
Cl (0.265, 0.265, 0.735)
Cl (0.265, 0.735, 0.265)
Cl (0.265, 0.735, 0.735)
Cl (0.735, 0.265, 0.265)
Cl (0.735, 0.265, 0.735)
Cl (0.735, 0.735, 0.265)

Results
The space group is Fm-3m. As for the density of states at the Fermi level: 11.70 states/eV/f.u. The calculation puts the uncorrected formation energy at -1.89 eV per atom.

---

Below is a relaxed Cs2CeMg3Cl12 crystal, with properties calculated at the PBE level.

Cell: 9.747 9.747 9.747 Å, 56.25 56.25 56.25°
Atoms (fractional coordinates):
Cs (0.091, 0.091, 0.091)
Cs (0.909, 0.909, 0.909)
Ce (0.500, 0.500, 0.500)
Mg (0.000, 0.500, 0.500)
Mg (0.500, 0.000, 0.500)
Mg (0.500, 0.500, 0.000)
Cl (0.164, 0.579, 0.579)
Cl (0.183, 0.183, 0.580)
Cl (0.183, 0.580, 0.183)
Cl (0.420, 0.817, 0.817)
Cl (0.421, 0.421, 0.836)
Cl (0.421, 0.836, 0.421)
Cl (0.579, 0.164, 0.579)
Cl (0.579, 0.579, 0.164)
Cl (0.580, 0.183, 0.183)
Cl (0.817, 0.420, 0.817)
Cl (0.817, 0.817, 0.420)
Cl (0.836, 0.421, 0.421)

Results
The space group is R-3m. The calculation puts the uncorrected formation energy at -1.89 eV per atom.

---

Uncorrected energy per entry: -50.45 -45.14 -42.38 -44.87 -36.35 -40.29 -38.36 -37.14 -73.48 -32.18 -36.40 -39.59 -44.93 -54.17 -37.21 -45.11 -52.75 -39.21 -68.57 eV per formula unit